## SrMnOF2 (meta-GGA SCAN)

Data for a PBEsol-optimized structure of SrMnOF2.

Cell: 4.4335 4.4335 4.8162 Å, 90.00 90.00 90.00°
Last column: nearest neighbours and their distance in Å.
Positions (direct):
Sr: 0.0000 0.0000 0.0000  4 F 2.22, 2 O 2.41
Mn: 0.5000 0.5000 0.5000  4 O 3.13, 8 F 3.27
O: 0.0000 0.0000 0.5000  2 Sr 2.41
F: 0.0000 0.5000 0.0000  2 Sr 2.22
F: 0.5000 0.0000 0.0000  2 Sr 2.22

## Properties
Final energy in eV per atom: -12.702
Spin magnetization in μB/atom: 1.03
Energy relative to the elements, uncorrected in eV per atom: -1.934
Volume in Å³ per atom: 18.9

=====

## TaMnO2F (meta-GGA SCAN)

Data for a PBEsol-optimized structure of TaMnO2F.

Cell: 3.9606 3.9606 4.1439 Å, 90.00 90.00 90.00°
Last column: nearest neighbours and their distance in Å.
Positions (direct):
Ta: 0.0000 0.0000 0.0000  4 O 1.98, 2 F 2.07
Mn: 0.5000 0.5000 0.5000  4 F 2.80, 8 O 2.87
O: 0.0000 0.5000 0.0000  2 Ta 1.98
O: 0.5000 0.0000 0.0000  2 Ta 1.98
F: 0.0000 0.0000 0.5000  2 Ta 2.07

## Properties
Final energy in eV per atom: -22.037
Spin magnetization in μB/atom: 1.07
Energy relative to the elements, uncorrected in eV per atom: -1.869
Volume in Å³ per atom: 13.0

=====

## MnTeOF2 (meta-GGA SCAN)

Data for a PBEsol-optimized structure of MnTeOF2.

Cell: 4.0837 4.0837 3.9702 Å, 90.00 90.00 90.00°
Last column: nearest neighbours and their distance in Å.
Positions (direct):
Mn: 0.0000 0.0000 0.0000  2 O 1.99, 4 F 2.04
Te: 0.5000 0.5000 0.5000  8 F 2.85, 4 O 2.89
O: 0.0000 0.0000 0.5000  2 Mn 1.99
F: 0.0000 0.5000 0.0000  2 Mn 2.04
F: 0.5000 0.0000 0.0000  2 Mn 2.04

## Properties
Final energy in eV per atom: -15.161
Spin magnetization in μB/atom: 0.71
Energy relative to the elements, uncorrected in eV per atom: -1.398
Volume in Å³ per atom: 13.2

=====

## MnWOF2 (meta-GGA SCAN)

Data for a PBEsol-optimized structure of MnWOF2.

Cell: 3.8613 3.8613 4.3204 Å, 90.00 90.00 90.00°
Last column: nearest neighbours and their distance in Å.
Positions (direct):
Mn: 0.0000 0.0000 0.0000  4 F 1.93, 2 O 2.16
W: 0.5000 0.5000 0.5000  4 O 2.73, 8 F 2.90
O: 0.0000 0.0000 0.5000  2 Mn 2.16
F: 0.0000 0.5000 0.0000  2 Mn 1.93
F: 0.5000 0.0000 0.0000  2 Mn 1.93

## Properties
Final energy in eV per atom: -20.915
Spin magnetization in μB/atom: 1.80
Energy relative to the elements, uncorrected in eV per atom: -0.665
Volume in Å³ per atom: 12.9

=====

## YMnO2F (meta-GGA SCAN)

Data for a PBEsol-optimized structure of YMnO2F.

Cell: 4.3334 4.3334 4.1555 Å, 90.00 90.00 90.00°
Last column: nearest neighbours and their distance in Å.
Positions (direct):
Y: 0.0000 0.0000 0.0000  2 F 2.08, 4 O 2.17
Mn: 0.5000 0.5000 0.5000  8 O 3.00, 4 F 3.06
O: 0.0000 0.5000 0.0000  2 Y 2.17
O: 0.5000 0.0000 0.0000  2 Y 2.17
F: 0.0000 0.0000 0.5000  2 Y 2.08

## Properties
Final energy in eV per atom: -14.784
Spin magnetization in μB/atom: 1.00
Energy relative to the elements, uncorrected in eV per atom: -2.363
Volume in Å³ per atom: 15.6

=====

## MnZnO2F (meta-GGA SCAN)

Data for a PBEsol-optimized structure of MnZnO2F.

Cell: 3.7855 3.7855 3.8865 Å, 90.00 90.00 90.00°
Last column: nearest neighbours and their distance in Å.
Positions (direct):
Mn: 0.0000 0.0000 0.0000  4 F 2.68, 8 O 2.71
Zn: 0.5000 0.5000 0.5000  4 O 1.89, 2 F 1.94
O: 0.0000 0.5000 0.5000  2 Zn 1.89
O: 0.5000 0.0000 0.5000  2 Zn 1.89
F: 0.5000 0.5000 0.0000  2 Zn 1.94

## Properties
Final energy in eV per atom: -10.819
Spin magnetization in μB/atom: 0.95
Energy relative to the elements, uncorrected in eV per atom: -1.264
Volume in Å³ per atom: 11.1

=====

## ZrMnO2F (meta-GGA SCAN)

Data for a PBEsol-optimized structure of ZrMnO2F.

Cell: 3.7844 3.7844 3.7841 Å, 90.00 90.00 90.00°
Last column: nearest neighbours and their distance in Å.
Positions (direct):
Zr: 0.0000 0.0000 0.0000  8 O 2.68, 4 F 2.68
Mn: 0.5000 0.5000 0.5000  2 F 1.89, 4 O 1.89
O: 0.0000 0.5000 0.5000  2 Mn 1.89
O: 0.5000 0.0000 0.5000  2 Mn 1.89
F: 0.5000 0.5000 0.0000  2 Mn 1.89

## Properties
Final energy in eV per atom: -14.907
Spin magnetization in μB/atom: 0.48
Energy relative to the elements, uncorrected in eV per atom: -1.915
Volume in Å³ per atom: 10.8

=====

## MnTe2PF (meta-GGA SCAN)

Data for a PBEsol-optimized structure of MnTe2PF.

Cell: 5.0005 5.0005 4.1719 Å, 90.00 90.00 90.00°
Last column: nearest neighbours and their distance in Å.
Positions (direct):
Mn: 0.0000 0.0000 0.0000  2 P 2.09
Te: 0.0000 0.5000 0.0000  2 Mn 2.50
Te: 0.5000 0.0000 0.0000  2 Mn 2.50
P: 0.0000 0.0000 0.5000  2 Mn 2.09
F: 0.5000 0.5000 0.5000  8 Te 3.26, 4 P 3.54

## Properties
Final energy in eV per atom: -21.321
Spin magnetization in μB/atom: 0.66
Energy relative to the elements, uncorrected in eV per atom: 0.018
Volume in Å³ per atom: 20.9

=====

## Mn2TePF (meta-GGA SCAN)

Data for a PBEsol-optimized structure of Mn2TePF.

Cell: 5.0310 5.0310 4.9761 Å, 90.00 90.00 90.00°
Last column: nearest neighbours and their distance in Å.
Positions (direct):
Mn: 0.0000 0.5000 0.0000  2 Te 2.52
Mn: 0.5000 0.0000 0.0000  2 Te 2.52
Te: 0.0000 0.0000 0.0000  2 P 2.49, 4 Mn 2.52
P: 0.0000 0.0000 0.5000  2 Te 2.49
F: 0.5000 0.5000 0.5000  8 Mn 3.54, 4 P 3.56

## Properties
Final energy in eV per atom: -17.004
Spin magnetization in μB/atom: 1.65
Energy relative to the elements, uncorrected in eV per atom: 0.536
Volume in Å³ per atom: 25.2

=====

## MnPtF6 (meta-GGA SCAN)

Data for a PBEsol-optimized structure of MnPtF6.

Cell: 5.5024 5.5024 5.5024 Å, 55.98 55.98 55.98°
Last column: nearest neighbours and their distance in Å.
Positions (direct):
Mn: 0.0000 0.0000 0.0000  6 F 2.01
Pt: 0.5000 0.5000 0.5000  6 F 1.98
F: 0.1274 0.3771 0.7460  1 Pt 1.98, 1 Mn 2.01
F: 0.2540 0.8726 0.6229  1 Pt 1.98, 1 Mn 2.01
F: 0.3771 0.7460 0.1274  1 Pt 1.98, 1 Mn 2.01
F: 0.6229 0.2540 0.8726  1 Pt 1.98, 1 Mn 2.01
F: 0.7460 0.1274 0.3771  1 Pt 1.98, 1 Mn 2.01
F: 0.8726 0.6229 0.2540  1 Pt 1.98, 1 Mn 2.01

## Properties
Final energy in eV per atom: -15.775
Spin magnetization in μB/atom: 0.62
Energy relative to the elements, uncorrected in eV per atom: -2.064
Volume in Å³ per atom: 13.4

=====

## Rb2MnF6 (meta-GGA SCAN)

Data for a PBEsol-optimized structure of Rb2MnF6.

Cell: 5.9584 5.9584 5.9584 Å, 60.00 60.00 60.00°
Last column: nearest neighbours and their distance in Å.
Positions (direct):
Rb: 0.2500 0.2500 0.2500  12 F 2.99
Rb: 0.7500 0.7500 0.7500  12 F 2.99
Mn: 0.0000 0.0000 0.0000  6 F 1.82
F: 0.2155 0.2155 0.7845  1 Mn 1.82
F: 0.2155 0.7845 0.2155  1 Mn 1.82
F: 0.2155 0.7845 0.7845  1 Mn 1.82
F: 0.7845 0.2155 0.2155  1 Mn 1.82
F: 0.7845 0.2155 0.7845  1 Mn 1.82
F: 0.7845 0.7845 0.2155  1 Mn 1.82

## Properties
Final energy in eV per atom: -11.986
Spin magnetization in μB/atom: 0.33
Energy relative to the elements, uncorrected in eV per atom: -2.989
Volume in Å³ per atom: 16.6

=====

## Rb2MnF5 (meta-GGA SCAN)

Data for a PBEsol-optimized structure of Rb2MnF5.

Cell: 5.9885 5.9885 4.1286 Å, 90.00 90.00 90.00°
Last column: nearest neighbours and their distance in Å.
Positions (direct):
Rb: 0.0000 0.5000 0.0000  10 F 2.97-2.99
Rb: 0.5000 0.0000 0.0000  10 F 2.97-2.99
Mn: 0.0000 0.0000 0.5000  6 F 1.87-2.06
F: 0.0000 0.0000 0.0000  2 Mn 2.06
F: 0.2206 0.2206 0.5000  1 Mn 1.87
F: 0.2206 0.7794 0.5000  1 Mn 1.87
F: 0.7794 0.2206 0.5000  1 Mn 1.87
F: 0.7794 0.7794 0.5000  1 Mn 1.87

## Properties
Final energy in eV per atom: -12.675
Spin magnetization in μB/atom: 0.50
Energy relative to the elements, uncorrected in eV per atom: -2.995
Volume in Å³ per atom: 18.5